# 1
VASP calculation (PBE-GGA) on a geometry-optimized HfU3S3 structure.

Results
Total DFT energy (no corrections)   -8.891 eV per atom
Formation energy (no corrections)   -863 meV/atom

Cell: 5.291 5.291 5.291 Å, 90.00 90.00 90.00°
Space group Pm-3m (No. 221)
Asymmetric unit:
Hf1 0.000 0.000 0.000 (multiplicity 1)
U1 0.000 0.500 0.500 (multiplicity 3)
S1 0.000 0.000 0.500 (multiplicity 3)

=====

# 2
VASP calculation (PBE-GGA) on a geometry-optimized Pu2Co12B7 structure.

Results
Formation enthalpy at 0 K   -0.27 eV/atom
Total DFT energy (no corrections)   -7.921 eV per atom

Cell: 8.4851 8.4851 3.3608 Å, 90.00 90.00 120.00°
Space group P-6 (No. 174)
Asymmetric unit:
Pu1 0.0000 0.0000 0.0000 (multiplicity 1)
Pu2 0.3333 0.6667 0.5000 (multiplicity 1)
Co1 0.0515 0.2821 0.5000 (multiplicity 3)
Co2 0.1006 0.7038 0.0000 (multiplicity 3)
Co3 0.3954 0.1823 0.0000 (multiplicity 3)
Co4 0.5487 0.4321 0.5000 (multiplicity 3)
B1 0.0622 0.4353 0.0000 (multiplicity 3)
B2 0.2805 0.2353 0.5000 (multiplicity 3)
B3 0.6667 0.3333 0.0000 (multiplicity 1)

=====

# 3
VASP calculation (PBE-GGA) on a geometry-optimized LiCuCl2 structure.

Results
Total DFT energy (no corrections)   -3.514 eV per atom
Formation energy (no corrections)   -1088 meV/atom

Cell: 3.8057 3.8057 20.7978 Å, 90.00 90.00 120.00°
Space group R-3m (No. 166, hexagonal axes)
Asymmetric unit:
Li1 0.0000 0.0000 0.0000 (multiplicity 3)
Cu1 0.0000 0.0000 0.5000 (multiplicity 3)
Cl1 0.0000 0.0000 0.3982 (multiplicity 6)

=====

# 4
VASP calculation (PBE-GGA) on a geometry-optimized YCo2B4Rh2 structure.

Results
Formation enthalpy at 0 K   -0.50 eV/atom
Total DFT energy (no corrections)   -7.397 eV per atom

Cell: 5.207 5.207 7.222 Å, 90.00 90.00 90.00°
Space group P4_2mc (No. 105)
Asymmetric unit:
Y1 0.000 0.500 0.000 (multiplicity 2)
Co1 0.000 0.252 0.352 (multiplicity 4)
B1 0.000 0.164 0.649 (multiplicity 4)
B2 0.316 0.500 0.337 (multiplicity 4)
Rh1 0.247 0.500 0.633 (multiplicity 4)

=====

# 5
VASP calculation (PBE-GGA) on a geometry-optimized Sm3Y4Zn structure.

Results
Formation enthalpy at 0 K   -0.08 eV/atom
Total DFT energy (no corrections)   -5.237 eV per atom

Cell: 3.588 3.588 19.015 Å, 90.00 90.00 90.00°
Space group P4/mmm (No. 123)
Asymmetric unit:
Sm1 0.000 0.000 0.000 (multiplicity 1)
Sm2 0.000 0.000 0.269 (multiplicity 2)
Y1 0.500 0.500 0.135 (multiplicity 2)
Y2 0.500 0.500 0.407 (multiplicity 2)
Zn1 0.000 0.000 0.500 (multiplicity 1)

=====

# 6
VASP calculation (PBE-GGA) on a geometry-optimized Tb4Pr15Y structure.

Results
Formation enthalpy at 0 K   0.01 eV/atom
Total DFT energy (no corrections)   -4.824 eV per atom

Cell: 5.212 5.212 25.915 Å, 90.00 90.00 90.00°
Space group P4/mmm (No. 123)
Asymmetric unit:
Tb1 0.000 0.000 0.100 (multiplicity 2)
Tb2 0.000 0.000 0.300 (multiplicity 2)
Pr1 0.000 0.500 0.000 (multiplicity 2)
Pr2 0.000 0.500 0.200 (multiplicity 4)
Pr3 0.000 0.500 0.400 (multiplicity 4)
Pr4 0.500 0.500 0.100 (multiplicity 2)
Pr5 0.500 0.500 0.300 (multiplicity 2)
Pr6 0.500 0.500 0.500 (multiplicity 1)
Y1 0.000 0.000 0.500 (multiplicity 1)